First-principles (PBE) data for an optimized crystal structure of Na2B3C, as listed in the Alexandria database.

Structure (POSCAR):
```
Na2B3C
1.0
7.011 -2.612 0.000
7.011 2.612 0.000
-2.812 0.000 8.656
Na B C
10 15 5
Cartesian
-0.001 -0.002 2.182
-0.010 -0.005 6.531
2.799 -0.005 2.132
2.792 -0.018 6.491
5.603 0.000 2.148
5.607 0.000 6.508
8.418 -0.018 2.164
8.410 -0.005 6.523
11.220 -0.005 2.125
11.211 -0.002 6.474
2.868 1.915 8.652
1.441 0.781 4.327
1.470 0.803 8.652
4.194 0.940 4.326
8.342 1.915 0.004
7.011 0.769 0.000
7.016 0.940 4.330
1.445 -0.900 8.650
9.740 0.803 0.003
4.255 -0.781 4.329
9.769 0.781 4.328
7.011 -0.943 0.000
6.955 -0.781 4.326
5.605 -1.929 4.328
9.764 -0.900 0.006
5.605 1.768 4.328
1.423 -0.845 4.326
2.825 -1.763 8.650
8.385 -1.763 0.005
9.786 -0.845 4.329
```

Summary:
SG = C2, No. 5
energy of formation = 0.170 eV/atom
distance to the lowest polymorph of the same formula = 0.036 eV per atom
density = 2.4 g/cm³